(1)
# La2Nd6Sm3Tl

Crystalline La2Nd6Sm3Tl at its relaxed geometry (PBE, the Alexandria database).

- Energy relative to the elements: -0.040 eV per atom
- Symmetry: C2/m (12)

Lattice parameters (Å, degrees): 6.282 6.282 12.086 95.04 95.04 120.09
Sites, in units of the cell vectors:
Nd (0.242, 0.242, 0.749)
Nd (0.083, 0.408, 0.250)
Nd (0.917, 0.592, 0.750)
La (0.666, 0.334, 0.000)
Nd (0.758, 0.758, 0.251)
Nd (0.592, 0.917, 0.750)
Sm (0.500, 0.500, 0.500)
Tl (0.000, 0.000, 0.000)
Nd (0.408, 0.083, 0.250)
Sm (0.168, 0.832, 0.500)
La (0.334, 0.666, 0.000)
Sm (0.832, 0.168, 0.500)


(2)
# Ce2PmDy3As6

Crystalline Ce2PmDy3As6 at its relaxed geometry (PBE, the Alexandria database).

- Energy relative to the elements: -1.501 eV per atom
- Symmetry: C2/m (12)

Lattice parameters (Å, degrees): 7.228 7.228 7.214 99.61 99.61 119.99
Sites, in units of the cell vectors:
Dy (0.834, 0.166, 0.500)
Ce (0.333, 0.667, 0.000)
Dy (0.500, 0.500, 0.500)
As (0.421, 0.085, 0.255)
Pm (0.000, 0.000, 0.000)
As (0.085, 0.421, 0.255)
As (0.251, 0.251, 0.745)
Ce (0.667, 0.333, 0.000)
As (0.749, 0.749, 0.255)
As (0.579, 0.915, 0.745)
As (0.915, 0.579, 0.745)
Dy (0.166, 0.834, 0.500)


(3)
# P4N7

Crystalline P4N7 at its relaxed geometry (PBE, the Alexandria database).

- Formation energy (no corrections): -82.5 meV per atom
- Symmetry: C2/c (15)

Lattice parameters (Å, degrees): 5.014 5.014 9.034 75.41 75.41 93.54
Sites, in units of the cell vectors:
P (0.975, 0.488, 0.703)
N (0.692, 0.511, 0.399)
N (0.181, 0.819, 0.250)
N (0.567, 0.010, 0.369)
P (0.512, 0.025, 0.797)
N (0.308, 0.489, 0.601)
P (0.256, 0.417, 0.976)
P (0.583, 0.744, 0.524)
P (0.488, 0.975, 0.203)
N (0.280, 0.154, 0.903)
N (0.990, 0.433, 0.131)
N (0.433, 0.990, 0.631)
N (0.720, 0.846, 0.097)
P (0.025, 0.512, 0.297)
P (0.744, 0.583, 0.024)
N (0.819, 0.181, 0.750)
N (0.154, 0.280, 0.403)
N (0.489, 0.308, 0.101)
N (0.511, 0.692, 0.899)
N (0.010, 0.567, 0.869)
N (0.846, 0.720, 0.597)
P (0.417, 0.256, 0.476)


(4)
# Tb2Dy4N

Crystalline Tb2Dy4N at its relaxed geometry (PBE, the Alexandria database).

- Formation energy (no corrections): -269.3 meV per atom
- Symmetry: I4/mmm (139)

Lattice parameters (Å, degrees): 4.785 4.785 9.417 75.28 75.28 90.00
Sites, in units of the cell vectors:
Dy (0.000, 0.500, 0.000)
Dy (0.500, 0.000, 0.000)
Dy (0.867, 0.867, 0.265)
Tb (0.669, 0.669, 0.661)
Tb (0.331, 0.331, 0.339)
Dy (0.133, 0.133, 0.735)
N (0.000, 0.000, 0.000)


(5)
# TaCd2SbBr

Crystalline TaCd2SbBr at its relaxed geometry (PBE, the Alexandria database).

- Formation energy (no corrections): 1332.7 meV per atom
- Symmetry: P4/mmm (123)

Lattice parameters (Å, degrees): 5.586 5.586 5.523 90.00 90.00 90.00
Sites, in units of the cell vectors:
Cd (0.500, 0.000, 0.000)
Sb (0.000, 0.000, 0.000)
Cd (0.000, 0.500, 0.000)
Br (0.000, 0.000, 0.500)
Ta (0.500, 0.500, 0.500)


(6)
# Pm6Sn3I

Crystalline Pm6Sn3I at its relaxed geometry (PBE, the Alexandria database).

- Formation energy (no corrections): -534.6 meV per atom
- Symmetry: Cmc2_1 (36)

Lattice parameters (Å, degrees): 7.661 9.623 9.623 102.13 90.00 90.00
Sites, in units of the cell vectors:
Pm (0.234, 0.097, 0.544)
Pm (0.654, 0.281, 0.367)
Sn (0.986, 0.067, 0.278)
Sn (0.486, 0.278, 0.067)
Pm (0.154, 0.367, 0.281)
Pm (0.627, 0.255, 0.745)
Sn (0.486, 0.933, 0.722)
Pm (0.734, 0.544, 0.097)
Sn (0.854, 0.582, 0.418)
Pm (0.127, 0.745, 0.255)
Pm (0.752, 0.998, 0.002)
Pm (0.654, 0.633, 0.719)
I (0.005, 0.172, 0.828)
Sn (0.354, 0.418, 0.582)
Pm (0.234, 0.456, 0.903)
Sn (0.986, 0.722, 0.933)
I (0.505, 0.828, 0.172)
Pm (0.252, 0.002, 0.998)
Pm (0.734, 0.903, 0.456)
Pm (0.154, 0.719, 0.633)


(7)
# Sc2CoCl

Crystalline Sc2CoCl at its relaxed geometry (PBE, the Alexandria database).

- Formation energy (no corrections): -121.7 meV per atom
- ΔE to the lowest computed polymorph: 666 meV/atom
- Symmetry: R-3m (166)

Lattice parameters (Å, degrees): 8.987 8.987 8.987 20.05 20.05 20.05
Sites, in units of the cell vectors:
Sc (0.913, 0.913, 0.913)
Cl (0.500, 0.500, 0.500)
Co (0.000, 0.000, 0.000)
Sc (0.087, 0.087, 0.087)


(8)
# NiPRh2

Crystalline NiPRh2 at its relaxed geometry (PBE, the Alexandria database).

- Energy relative to the elements: 0.038 eV per atom
- ΔE to the lowest computed polymorph: 334 meV/atom
- Symmetry: Pmmm (47)

Lattice parameters (Å, degrees): 2.769 4.226 4.529 90.00 90.00 90.00
Sites, in units of the cell vectors:
P (0.000, 0.500, 0.500)
Rh (0.000, 0.000, 0.000)
Rh (0.500, 0.000, 0.500)
Ni (0.500, 0.500, 0.000)


(9)
# Fe2OsAu

Crystalline Fe2OsAu at its relaxed geometry (PBE, the Alexandria database).

- Energy relative to the elements: 0.547 eV per atom
- ΔE to the lowest computed polymorph: 345 meV/atom
- Symmetry: F-43m (216)

Lattice parameters (Å, degrees): 4.335 4.335 4.335 60.00 60.00 60.00
Sites, in units of the cell vectors:
Au (0.500, 0.500, 0.500)
Fe (0.000, 0.000, 0.000)
Fe (0.750, 0.750, 0.750)
Os (0.250, 0.250, 0.250)


(10)
# AlPRh2

Crystalline AlPRh2 at its relaxed geometry (PBE, the Alexandria database).

- Energy relative to the elements: -0.582 eV per atom
- ΔE to the lowest computed polymorph: 86 meV/atom
- Symmetry: Immm (71)

Lattice parameters (Å, degrees): 4.523 4.523 4.523 131.97 124.00 76.82
Sites, in units of the cell vectors:
Al (0.750, 0.250, 0.500)
P (0.250, 0.750, 0.500)
Rh (0.455, 0.455, 0.000)
Rh (0.045, 0.045, 0.000)


Please write out number 5 again, unchanged.
# TaCd2SbBr

Crystalline TaCd2SbBr at its relaxed geometry (PBE, the Alexandria database).

- Formation energy (no corrections): 1332.7 meV per atom
- Symmetry: P4/mmm (123)

Lattice parameters (Å, degrees): 5.586 5.586 5.523 90.00 90.00 90.00
Sites, in units of the cell vectors:
Cd (0.500, 0.000, 0.000)
Sb (0.000, 0.000, 0.000)
Cd (0.000, 0.500, 0.000)
Br (0.000, 0.000, 0.500)
Ta (0.500, 0.500, 0.500)